No. 1
Sm3Mg2Tl6, optimized geometry, DFT PBE; formation enthalpy at 0 K = -140 meV/atom
1.0
4.688 0.000 0.000
0.000 4.688 0.000
-2.344 -2.344 14.069
Mg Tl Sm
2 6 3
Direct
0.547 0.547 0.094 Mg
0.453 0.453 0.906 Mg
0.608 0.108 0.216 Tl
0.108 0.608 0.216 Tl
0.694 0.694 0.389 Tl
0.306 0.306 0.611 Tl
0.392 0.892 0.784 Tl
0.892 0.392 0.784 Tl
0.194 0.194 0.389 Sm
0.806 0.806 0.611 Sm
0.000 0.000 0.000 Sm

***

No. 2
Sm2Mg2Tl, optimized geometry, DFT PBE; formation enthalpy at 0 K = -4 meV/atom
1.0
7.317 2.987 3.304
5.227 5.927 3.304
1.100 0.782 5.879
Sm Mg Tl
2 2 1
Direct
0.699 0.699 0.833 Sm
0.301 0.301 0.167 Sm
0.587 0.587 0.507 Mg
0.413 0.413 0.493 Mg
0.000 0.000 0.000 Tl

***

No. 3
SmMg4Tl, optimized geometry, DFT PBE; formation enthalpy at 0 K = -5 meV/atom
1.0
6.051 0.000 0.000
3.026 5.240 0.000
3.026 1.747 4.941
Mg Tl Sm
4 1 1
Direct
0.625 0.125 0.625 Mg
0.125 0.625 0.625 Mg
0.625 0.625 0.125 Mg
0.625 0.625 0.625 Mg
0.000 0.000 0.000 Tl
0.250 0.250 0.250 Sm

***

No. 4
SmTmMgTl, optimized geometry, DFT PBE; formation enthalpy at 0 K = -226 meV/atom
1.0
5.358 0.000 0.000
2.679 4.640 0.000
2.679 1.547 4.375
Mg Tm Sm Tl
1 1 1 1
Direct
0.750 0.750 0.750 Mg
0.000 0.000 0.000 Tm
0.500 0.500 0.500 Sm
0.250 0.250 0.250 Tl

***

No. 5
Sm3Tm2Mg, optimized geometry, DFT PBE; formation enthalpy at 0 K = -12 meV/atom
1.0
-1.230 2.308 2.466
-2.914 0.601 -2.016
-6.804 -10.718 6.641
Mg Tm Sm
1 2 3
Direct
0.500 0.500 0.500 Mg
0.500 0.500 0.173 Tm
0.500 0.500 0.827 Tm
0.000 0.000 0.000 Sm
0.000 0.000 0.655 Sm
0.000 0.000 0.345 Sm

***

No. 6
Sm6Tm12Mg, optimized geometry, DFT PBE; formation enthalpy at 0 K = 135 meV/atom
1.0
8.360 0.687 0.823
-0.589 8.368 0.823
-0.589 -0.686 8.380
Tm Sm Mg
12 6 1
Direct
0.438 0.777 0.539 Tm
0.360 0.013 0.193 Tm
0.562 0.223 0.461 Tm
0.223 0.461 0.562 Tm
0.987 0.807 0.640 Tm
0.461 0.562 0.223 Tm
0.807 0.640 0.987 Tm
0.640 0.987 0.807 Tm
0.193 0.360 0.013 Tm
0.539 0.438 0.777 Tm
0.777 0.539 0.438 Tm
0.013 0.193 0.360 Tm
0.907 0.304 0.740 Sm
0.696 0.260 0.093 Sm
0.260 0.093 0.696 Sm
0.093 0.696 0.260 Sm
0.304 0.740 0.907 Sm
0.740 0.907 0.304 Sm
0.000 0.000 0.000 Mg

***

No. 7
Sm2TmMg2, optimized geometry, DFT PBE; formation enthalpy at 0 K = 52 meV/atom
1.0
-3.863 -3.388 0.981
-0.293 -4.755 -3.624
1.547 -4.926 3.028
Sm Tm Mg
2 1 2
Direct
0.805 0.695 0.695 Sm
0.195 0.305 0.305 Sm
0.000 0.000 0.000 Tm
0.500 0.710 0.290 Mg
0.500 0.290 0.710 Mg

***

No. 8
SmTmMg, optimized geometry, DFT PBE; formation enthalpy at 0 K = -38 meV/atom
1.0
-2.030 -0.739 3.012
-2.912 -0.772 -2.152
6.536 -11.394 1.608
Tm Mg Sm
2 2 2
Direct
0.560 0.271 0.798 Tm
0.060 0.590 0.616 Tm
0.560 0.940 0.466 Mg
0.559 0.621 0.149 Mg
0.060 0.281 0.308 Sm
0.060 0.960 0.987 Sm